No. 1
The following is a GGA-PBE calculation of a relaxed Ac2PrYHo crystal, from Alexandria via LeMat-Bulk.

Cell lengths 6.488, 8.981, 6.733 Å; angles 90.00, 90.00, 90.00 degrees
Fractional coordinates of all 10 atoms:
Ac 0.250 0.203 0.213
Ac 0.250 0.797 0.213
Ac 0.750 0.203 0.787
Ac 0.750 0.797 0.787
Pr 0.250 0.500 0.919
Pr 0.750 0.500 0.081
Y 0.250 0.000 0.686
Y 0.750 0.000 0.314
Ho 0.000 0.500 0.500
Ho 0.500 0.500 0.500

Output
VASP energy, eV per atom: -4.547
ΔE_f, eV per atom: 0.261
Crystal system: orthorhombic
V, Å³/cell: 392.28
N(E_F), states/eV per cell: 12.4
Total magnetization, μB per formula unit: 0.00

---

No. 2
The following is a GGA-PBE calculation of a relaxed AcPr3YHo crystal, from Alexandria via LeMat-Bulk.

Cell lengths 8.255, 5.269, 10.520 Å; angles 90.00, 108.66, 90.00 degrees
Fractional coordinates of all 12 atoms:
Ac 0.173 0.250 0.294
Ac 0.827 0.750 0.706
Pr 0.172 0.750 0.040
Pr 0.173 0.250 0.792
Pr 0.173 0.750 0.546
Pr 0.827 0.250 0.454
Pr 0.827 0.750 0.208
Pr 0.828 0.250 0.960
Y 0.497 0.750 0.877
Y 0.503 0.250 0.123
Ho 0.498 0.250 0.628
Ho 0.502 0.750 0.372

Output
VASP energy, eV per atom: -4.878
ΔE_f, eV per atom: 0.037
Crystal system: monoclinic
V, Å³/cell: 433.48
N(E_F), states/eV per cell: 20.2
Total magnetization, μB per formula unit: 0.00

---

No. 3
The following is a GGA-PBE calculation of a relaxed AcPrY3Ho crystal, from Alexandria via LeMat-Bulk.

Cell lengths 8.207, 5.193, 10.307 Å; angles 90.00, 108.56, 90.00 degrees
Fractional coordinates of all 12 atoms:
Ac 0.166 0.250 0.294
Ac 0.834 0.750 0.706
Pr 0.497 0.750 0.874
Pr 0.503 0.250 0.126
Y 0.169 0.750 0.040
Y 0.172 0.250 0.791
Y 0.172 0.750 0.545
Y 0.828 0.250 0.455
Y 0.828 0.750 0.209
Y 0.831 0.250 0.960
Ho 0.499 0.250 0.625
Ho 0.501 0.750 0.375

Output
VASP energy, eV per atom: -5.431
ΔE_f, eV per atom: 0.045
Crystal system: monoclinic
V, Å³/cell: 416.46
N(E_F), states/eV per cell: 20.5
Total magnetization, μB per formula unit: 0.00

---

No. 4
The following is a GGA-PBE calculation of a relaxed AcPrYHo2 crystal, from Alexandria via LeMat-Bulk.

Cell lengths 6.397, 5.884, 9.823 Å; angles 90.00, 108.52, 90.00 degrees
Fractional coordinates of all 10 atoms:
Ac 0.030 0.250 0.390
Ac 0.970 0.750 0.610
Pr 0.244 0.250 0.812
Pr 0.756 0.750 0.188
Y 0.377 0.750 0.396
Y 0.623 0.250 0.604
Ho 0.166 0.750 0.008
Ho 0.431 0.250 0.194
Ho 0.569 0.750 0.806
Ho 0.834 0.250 0.992

Output
VASP energy, eV per atom: -4.861
ΔE_f, eV per atom: 0.040
Crystal system: monoclinic
V, Å³/cell: 350.61
N(E_F), states/eV per cell: 17.1
Total magnetization, μB per formula unit: 0.00